# NiMoW, relaxed, DFT PBE
# * total energy: -9.68 eV per atom
# * calculated volume: 14.59 Å³/atom
# * ΔH_f (0 K): 0.175 eV per atom
# * ΔE to the lowest computed polymorph: 128 meV per atom
# * DOS(E_F): 2.8 states/eV per cell
data_NiMoW
_cell_length_a 4.4143
_cell_length_b 4.4143
_cell_length_c 2.5941
_cell_angle_alpha 90.00
_cell_angle_beta 90.00
_cell_angle_gamma 120.00
_symmetry_space_group_name_H-M 'P 3 m 1'
_symmetry_Int_Tables_number 156
loop_
_symmetry_equiv_pos_as_xyz
'x,y,z'
'-y,x-y,z'
'-x+y,-x,z'
'-y,-x,z'
'-x+y,y,z'
'x,x-y,z'
loop_
_atom_site_label
_atom_site_fract_x
_atom_site_fract_y
_atom_site_fract_z
Ni1 0.0000 0.0000 0.0000
Mo1 0.3333 0.6667 0.5654
W1 0.6667 0.3333 0.2017

# NiMo3W, relaxed, DFT PBE
# * total energy: -8.22 eV per atom
# * calculated volume: 20.94 Å³/atom
# * ΔH_f (0 K): 2.029 eV per atom
# * ΔE to the lowest computed polymorph: 565 meV per atom
# * DOS(E_F): 7.1 states/eV per cell
data_NiMo3W
_cell_length_a 4.7135
_cell_length_b 4.7135
_cell_length_c 4.7135
_cell_angle_alpha 90.00
_cell_angle_beta 90.00
_cell_angle_gamma 90.00
_symmetry_space_group_name_H-M 'P m -3 m'
_symmetry_Int_Tables_number 221
_symmetry_space_group_name_Hall '-P 4 2 3'
loop_
_atom_site_label
_atom_site_fract_x
_atom_site_fract_y
_atom_site_fract_z
Ni1 0.0000 0.0000 0.0000
Mo1 0.0000 0.5000 0.5000
W1 0.5000 0.5000 0.5000

# NiMoW, relaxed, DFT PBE
# * total energy: -9.14 eV per atom
# * calculated volume: 16.02 Å³/atom
# * ΔH_f (0 K): 0.716 eV per atom
# * ΔE to the lowest computed polymorph: 670 meV per atom
# * DOS(E_F): 15.7 states/eV per cell
data_NiMoW
_cell_length_a 5.7712
_cell_length_b 5.7712
_cell_length_c 5.7712
_cell_angle_alpha 90.00
_cell_angle_beta 90.00
_cell_angle_gamma 90.00
_symmetry_space_group_name_H-M 'F -4 3 m'
_symmetry_Int_Tables_number 216
_symmetry_space_group_name_Hall 'F -4 2 3'
loop_
_atom_site_label
_atom_site_fract_x
_atom_site_fract_y
_atom_site_fract_z
Ni1 0.0000 0.0000 0.0000
Mo1 0.2500 0.2500 0.7500
W1 0.2500 0.2500 0.2500

# Ni14MoW, relaxed, DFT PBE
# * total energy: -6.58 eV per atom
# * calculated volume: 11.42 Å³/atom
# * ΔH_f (0 K): -0.033 eV per atom
# * DOS(E_F): 26.2 states/eV per cell
data_Ni14MoW
_cell_length_a 5.0910
_cell_length_b 5.0910
_cell_length_c 7.0505
_cell_angle_alpha 90.00
_cell_angle_beta 90.00
_cell_angle_gamma 90.00
_symmetry_space_group_name_H-M 'P 4/m m m'
_symmetry_Int_Tables_number 123
_symmetry_space_group_name_Hall '-P 4 2'
loop_
_atom_site_label
_atom_site_fract_x
_atom_site_fract_y
_atom_site_fract_z
Ni1 0.0000 0.0000 0.0000
Ni2 0.0000 0.5000 0.0000
Ni3 0.0000 0.5000 0.5000
Ni4 0.2501 0.2501 0.2478
Ni5 0.5000 0.5000 0.0000
Mo1 0.0000 0.0000 0.5000
W1 0.5000 0.5000 0.5000

# Ni2Mo2W, relaxed, DFT PBE
# * total energy: -9.06 eV per atom
# * calculated volume: 14.02 Å³/atom
# * ΔH_f (0 K): 0.177 eV per atom
# * DOS(E_F): 11.6 states/eV per cell
data_Ni2Mo2W
_cell_length_a 6.5603
_cell_length_b 6.5603
_cell_length_c 3.2569
_cell_angle_alpha 90.00
_cell_angle_beta 90.00
_cell_angle_gamma 90.00
_symmetry_space_group_name_H-M 'P 4/m b m'
_symmetry_Int_Tables_number 127
_symmetry_space_group_name_Hall '-P 4 2ab'
loop_
_atom_site_label
_atom_site_fract_x
_atom_site_fract_y
_atom_site_fract_z
Ni1 0.1231 0.3769 0.0000
Mo1 0.1753 0.6753 0.5000
W1 0.0000 0.0000 0.0000

# NiMoW, relaxed, DFT PBE
# * total energy: -8.45 eV per atom
# * calculated volume: 17.27 Å³/atom
# * ΔH_f (0 K): 1.402 eV per atom
# * ΔE to the lowest computed polymorph: 1356 meV per atom
# * DOS(E_F): 15.4 states/eV per cell
data_NiMoW
_cell_length_a 5.4097
_cell_length_b 5.4097
_cell_length_c 7.0801
_cell_angle_alpha 90.00
_cell_angle_beta 90.00
_cell_angle_gamma 90.00
_symmetry_space_group_name_H-M 'P 41 21 2'
_symmetry_Int_Tables_number 92
loop_
_symmetry_equiv_pos_as_xyz
'x,y,z'
'-y+1/2,x+1/2,z+1/4'
'-x,-y,z+1/2'
'y+1/2,-x+1/2,z+3/4'
'x+1/2,-y+1/2,-z+3/4'
'-y,-x,-z+1/2'
'-x+1/2,y+1/2,-z+1/4'
'y,x,-z'
loop_
_atom_site_label
_atom_site_fract_x
_atom_site_fract_y
_atom_site_fract_z
Ni1 0.0035 0.0035 0.0000
Mo1 0.2007 0.7993 0.2500
W1 0.2046 0.7954 0.7500

# NiMoW, relaxed, DFT PBE
# * total energy: -9.81 eV per atom
# * calculated volume: 14.35 Å³/atom
# * ΔH_f (0 K): 0.046 eV per atom
# * ΔE to the lowest computed polymorph: 0 meV per atom
# * DOS(E_F): 7.9 states/eV per cell
data_NiMoW
_cell_length_a 3.3380
_cell_length_b 4.1710
_cell_length_c 12.3688
_cell_angle_alpha 90.00
_cell_angle_beta 90.00
_cell_angle_gamma 90.00
_symmetry_space_group_name_H-M 'F m m 2'
_symmetry_Int_Tables_number 42
_symmetry_space_group_name_Hall 'F 2 -2'
loop_
_atom_site_label
_atom_site_fract_x
_atom_site_fract_y
_atom_site_fract_z
Ni1 0.0000 0.0000 0.0000
Mo1 0.0000 0.0000 0.3404
W1 0.0000 0.0000 0.6581

# YNi2Mo2, relaxed, DFT PBE
# * total energy: -7.69 eV per atom
# * calculated volume: 17.78 Å³/atom
# * ΔH_f (0 K): 0.246 eV per atom
# * ΔE to the lowest computed polymorph: 243 meV per atom
# * DOS(E_F): 13.8 states/eV per cell
data_YNi2Mo2
_cell_length_a 4.4040
_cell_length_b 4.4040
_cell_length_c 9.1696
_cell_angle_alpha 90.00
_cell_angle_beta 90.00
_cell_angle_gamma 90.00
_symmetry_space_group_name_H-M 'I 4/m m m'
_symmetry_Int_Tables_number 139
_symmetry_space_group_name_Hall '-I 4 2'
loop_
_atom_site_label
_atom_site_fract_x
_atom_site_fract_y
_atom_site_fract_z
Y1 0.0000 0.0000 0.0000
Ni1 0.0000 0.5000 0.2500
Mo1 0.0000 0.0000 0.3653

# Y4NiMo, relaxed, DFT PBE
# * total energy: -6.01 eV per atom
# * calculated volume: 25.79 Å³/atom
# * ΔH_f (0 K): 1.066 eV per atom
# * DOS(E_F): 29.2 states/eV per cell
data_Y4NiMo
_cell_length_a 8.5228
_cell_length_b 8.5228
_cell_length_c 8.5228
_cell_angle_alpha 90.00
_cell_angle_beta 90.00
_cell_angle_gamma 90.00
_symmetry_space_group_name_H-M 'F -4 3 m'
_symmetry_Int_Tables_number 216
_symmetry_space_group_name_Hall 'F -4 2 3'
loop_
_atom_site_label
_atom_site_fract_x
_atom_site_fract_y
_atom_site_fract_z
Y1 0.1246 0.1246 0.1246
Ni1 0.0000 0.0000 0.5000
Mo1 0.2500 0.2500 0.7500

# YNi2Mo2, relaxed, DFT PBE
# * total energy: -7.93 eV per atom
# * calculated volume: 16.78 Å³/atom
# * ΔH_f (0 K): 0.003 eV per atom
# * ΔE to the lowest computed polymorph: 0 meV per atom
# * DOS(E_F): 10.3 states/eV per cell
data_YNi2Mo2
_cell_length_a 3.7962
_cell_length_b 3.7962
_cell_length_c 11.6474
_cell_angle_alpha 90.00
_cell_angle_beta 90.00
_cell_angle_gamma 90.00
_symmetry_space_group_name_H-M 'I 4/m m m'
_symmetry_Int_Tables_number 139
_symmetry_space_group_name_Hall '-I 4 2'
loop_
_atom_site_label
_atom_site_fract_x
_atom_site_fract_y
_atom_site_fract_z
Y1 0.0000 0.0000 0.0000
Ni1 0.0000 0.0000 0.3996
Mo1 0.0000 0.5000 0.2500

# Y3NiMo, relaxed, DFT PBE
# * total energy: -6.70 eV per atom
# * calculated volume: 27.33 Å³/atom
# * ΔH_f (0 K): 0.502 eV per atom
# * ΔE to the lowest computed polymorph: 0 meV per atom
# * DOS(E_F): 8.1 states/eV per cell
data_Y3NiMo
_cell_length_a 5.1507
_cell_length_b 5.1507
_cell_length_c 5.1507
_cell_angle_alpha 90.00
_cell_angle_beta 90.00
_cell_angle_gamma 90.00
_symmetry_space_group_name_H-M 'P m -3 m'
_symmetry_Int_Tables_number 221
_symmetry_space_group_name_Hall '-P 4 2 3'
loop_
_atom_site_label
_atom_site_fract_x
_atom_site_fract_y
_atom_site_fract_z
Y1 0.0000 0.0000 0.5000
Ni1 0.0000 0.0000 0.0000
Mo1 0.5000 0.5000 0.5000

# YNi2Mo2, relaxed, DFT PBE
# * total energy: -7.77 eV per atom
# * calculated volume: 15.99 Å³/atom
# * ΔH_f (0 K): 0.169 eV per atom
# * ΔE to the lowest computed polymorph: 166 meV per atom
# * DOS(E_F): 12.2 states/eV per cell
data_YNi2Mo2
_cell_length_a 7.6618
_cell_length_b 7.6618
_cell_length_c 2.7235
_cell_angle_alpha 90.00
_cell_angle_beta 90.00
_cell_angle_gamma 90.00
_symmetry_space_group_name_H-M 'P 4/m b m'
_symmetry_Int_Tables_number 127
_symmetry_space_group_name_Hall '-P 4 2ab'
loop_
_atom_site_label
_atom_site_fract_x
_atom_site_fract_y
_atom_site_fract_z
Y1 0.0000 0.0000 0.0000
Ni1 0.1761 0.3239 0.5000
Mo1 0.1172 0.6172 0.0000

# YNi3Mo, relaxed, DFT PBE
# * total energy: -5.32 eV per atom
# * calculated volume: 19.50 Å³/atom
# * ΔH_f (0 K): 1.603 eV per atom
# * ΔE to the lowest computed polymorph: 1101 meV per atom
# * DOS(E_F): 4.9 states/eV per cell
data_YNi3Mo
_cell_length_a 4.6025
_cell_length_b 4.6025
_cell_length_c 4.6025
_cell_angle_alpha 90.00
_cell_angle_beta 90.00
_cell_angle_gamma 90.00
_symmetry_space_group_name_H-M 'P m -3 m'
_symmetry_Int_Tables_number 221
_symmetry_space_group_name_Hall '-P 4 2 3'
loop_
_atom_site_label
_atom_site_fract_x
_atom_site_fract_y
_atom_site_fract_z
Y1 0.0000 0.0000 0.0000
Ni1 0.0000 0.0000 0.5000
Mo1 0.5000 0.5000 0.5000

# YNi2Mo2, relaxed, DFT PBE
# * total energy: -7.73 eV per atom
# * calculated volume: 15.74 Å³/atom
# * ΔH_f (0 K): 0.210 eV per atom
# * ΔE to the lowest computed polymorph: 206 meV per atom
# * DOS(E_F): 12.7 states/eV per cell
data_YNi2Mo2
_cell_length_a 7.5763
_cell_length_b 7.5763
_cell_length_c 2.7419
_cell_angle_alpha 90.00
_cell_angle_beta 90.00
_cell_angle_gamma 90.00
_symmetry_space_group_name_H-M 'P 4/m b m'
_symmetry_Int_Tables_number 127
_symmetry_space_group_name_Hall '-P 4 2ab'
loop_
_atom_site_label
_atom_site_fract_x
_atom_site_fract_y
_atom_site_fract_z
Y1 0.0000 0.0000 0.0000
Ni1 0.1191 0.3809 0.0000
Mo1 0.1713 0.6713 0.5000